Density functional theory data (PBE) for a geometry-optimized YReAs2 structure.

Polymorph energy (0 for the lowest one) ... 0.08 eV/f.u.
Volume ... 19.6 Å³/atom
Calculated formation energy ... -1.60 eV/f.u.
D(E_F) ... 0.2349 states/eV per atom
Total magnetization ... 0.0 μB/cell
VASP energy ... -7.45 eV/atom

a = 3.3085 Å, b = 3.6562 Å, c = 12.9308 Å
α = 90.00°, β = 90.00°, γ = 90.00°
Space group Imm2 (No. 44)
Asymmetric unit:
Y (0.0000, 0.0000, 0.0000) x2
Re (0.0000, 0.5000, 0.2542) x2
As (0.0000, 0.0000, 0.6085) x2
As (0.0000, 0.5000, 0.8311) x2